Entry from Alexandria via LeMat-Bulk: a relaxed structure of SrLa3Fe (PBE).

POSCAR file:
```
SrLa3Fe
1.0
5.591 0.000 0.000
0.000 5.591 0.000
0.000 0.000 5.591
Sr La Fe
1 3 1
Cartesian
2.796 2.796 2.796 Sr
0.000 0.000 2.796 La
0.000 2.796 0.000 La
2.796 0.000 0.000 La
0.000 0.000 0.000 Fe
```

Properties
Energy of formation (meV per atom): 76.1
Energy above the most stable polymorph in this dataset (meV/atom): 0
Crystal system: cubic

Entry from Alexandria via LeMat-Bulk: a relaxed structure of Rb2Er2IrO6 (PBE).

POSCAR file:
```
Rb2Er2IrO6
1.0
5.736 0.004 0.087
-2.831 4.989 0.087
-0.996 -1.713 6.574
Er Ir O Rb
2 1 6 2
Cartesian
2.366 0.819 3.374 Er
-0.458 2.462 3.374 Er
-0.498 -0.856 3.287 Ir
3.317 2.610 2.347 O
1.279 -0.893 4.401 O
0.416 0.714 2.237 O
-1.409 0.671 4.401 O
0.629 4.174 2.347 O
1.493 2.566 4.511 O
4.331 0.822 0.087 Rb
-1.426 4.171 0.087 Rb
```

Properties
E_form (uncorrected) (eV per atom): -2.160
Crystal system: monoclinic

Entry from Alexandria via LeMat-Bulk: a relaxed structure of Cs2PtS6O18F6 (PBE).

POSCAR file:
```
Cs2PtS6O18F6
1.0
-4.855 -1.598 -7.956
3.179 -7.273 5.141
-7.056 -0.036 4.313
Pt O F S Cs
1 18 6 6 2
Cartesian
0.000 0.000 0.000 Pt
-4.526 -3.423 3.034 O
-6.710 -0.919 0.722 O
-2.799 -6.209 -0.482 O
-6.902 -8.154 2.056 O
-0.240 -7.401 3.696 O
-6.548 -5.954 0.946 O
-1.601 -1.276 -0.188 O
-5.107 -1.831 -5.929 O
-8.902 -3.675 -2.887 O
-4.565 -5.601 -2.125 O
-6.000 -1.643 3.586 O
-4.865 -6.997 2.451 O
-3.079 -5.794 5.382 O
-5.529 -2.456 -3.676 O
-3.632 -2.447 -0.573 O
-0.997 -2.562 2.497 O
-3.504 -6.437 7.629 O
-3.082 -7.378 -2.662 O
-6.926 -6.095 3.323 F
-2.241 -5.114 -2.556 F
-5.913 -3.603 5.001 F
-5.288 -6.546 6.000 F
-3.644 -3.417 -4.837 F
-2.185 -1.946 -2.438 F
-3.717 -6.808 6.170 S
-6.229 -6.791 2.060 S
-3.259 -6.117 -1.832 S
-4.980 -2.628 4.137 S
-2.826 -1.378 -1.084 S
-5.186 -2.998 -4.958 S
-6.619 -3.512 -0.875 Cs
-2.113 -5.394 2.373 Cs
```

Properties
E_form (uncorrected) (eV per atom): -1.471
Crystal system: trigonal

Entry from Alexandria via LeMat-Bulk: a relaxed structure of ZnSiSb2 (PBE).

POSCAR file:
```
ZnSiSb2
1.0
4.375 0.000 0.000
0.000 3.980 0.021
0.000 -0.032 6.084
Sb Si Zn
2 1 1
Cartesian
0.000 3.453 5.579 Sb
2.188 1.482 2.021 Sb
0.000 1.473 3.712 Si
2.188 3.462 3.949 Zn
```

Properties
E_form (uncorrected) (eV per atom): 0.217
Crystal system: orthorhombic

Entry from Alexandria via LeMat-Bulk: a relaxed structure of NaFe3Cu (PBE).

POSCAR file:
```
NaFe3Cu
1.0
4.527 0.000 0.000
0.000 4.527 0.000
0.000 0.000 4.527
Fe Cu Na
3 1 1
Cartesian
0.000 2.263 0.000 Fe
2.263 0.000 0.000 Fe
0.000 0.000 2.263 Fe
0.000 0.000 0.000 Cu
2.263 2.263 2.263 Na
```

Properties
Energy of formation (meV per atom): 1121.6
Energy above the most stable polymorph in this dataset (meV/atom): 0
Crystal system: cubic

Entry from Alexandria via LeMat-Bulk: a relaxed structure of Eu3Bi (PBE).

POSCAR file:
```
Eu3Bi
1.0
5.008 0.000 0.000
0.000 5.008 0.000
-2.504 -2.504 5.540
Eu Bi
3 1
Cartesian
2.504 2.504 0.000 Eu
0.000 2.504 2.770 Eu
2.504 0.000 2.770 Eu
0.000 0.000 0.000 Bi
```

Properties
Energy of formation (meV per atom): -399.7
Energy above the most stable polymorph in this dataset (meV/atom): 88
Crystal system: tetragonal

Entry from Alexandria via LeMat-Bulk: a relaxed structure of UAgHg2S6 (PBE).

POSCAR file:
```
UAgHg2S6
1.0
7.187 0.485 -0.257
4.003 5.777 -0.221
3.508 1.984 6.086
S Hg Ag U
6 2 1 1
Cartesian
6.105 1.971 1.394 S
6.724 6.124 1.545 S
7.876 2.509 4.382 S
4.841 4.177 5.017 S
10.256 4.125 1.772 S
8.225 5.802 4.645 S
14.399 8.179 5.492 Hg
7.737 4.232 0.441 Hg
11.067 6.206 2.966 Ag
3.719 2.082 0.163 U
```

Properties
E_form (uncorrected) (eV per atom): -0.364
Crystal system: triclinic

Entry from Alexandria via LeMat-Bulk: a relaxed structure of GeBi2Rh (PBE).

POSCAR file:
```
GeBi2Rh
1.0
-5.159 -1.308 -3.280
3.296 -3.870 -3.639
-2.240 -7.468 0.544
Rh Bi Ge
2 4 2
Cartesian
0.000 0.000 0.000 Rh
-4.165 -5.683 -3.098 Rh
-2.473 -7.432 -2.082 Bi
-3.520 -3.206 -2.463 Bi
-3.216 -10.244 -5.751 Bi
1.003 -4.412 -2.454 Bi
-0.931 -2.589 -3.460 Ge
0.062 -6.964 -3.277 Ge
```

Properties
Energy of formation (meV per atom): 238.8
Crystal system: tetragonal